A relaxed structure of SrLaNd4, computed with PBE.

Structure (POSCAR):
```
SrLaNd4
1.0
0.0000 4.9182 4.9182
4.9182 0.0000 4.9182
4.9182 4.9182 0.0000
Sr La Nd
1 1 4
Direct
0.0000 0.0000 0.0000
0.2500 0.2500 0.2500
0.1326 0.6225 0.6225
0.6225 0.1326 0.6225
0.6225 0.6225 0.1326
0.6225 0.6225 0.6225
```

Size of the total moment, μB per formula unit: 0.0
Formation energy, eV per atom: 0.2109
SG: F-43m, No. 216
Fermi-level density of states, states/eV per atom: 1.50


A relaxed structure of La2GeSbPt6, computed with PBE.

Structure (POSCAR):
```
La2GeSbPt6
1.0
5.6123 0.0000 0.0000
0.0000 8.6887 0.0000
0.0000 0.0000 8.8705
La Ge Sb Pt
4 2 2 12
Direct
0.2500 0.0061 0.2335
0.2500 0.4939 0.2335
0.7500 0.5061 0.7665
0.7500 0.9939 0.7665
0.2500 0.7500 0.7516
0.7500 0.2500 0.2484
0.2500 0.2500 0.7735
0.7500 0.7500 0.2265
0.0018 0.2500 0.4945
0.0041 0.7500 0.9801
0.2500 0.5006 0.6050
0.2500 0.9994 0.6050
0.4959 0.7500 0.9801
0.4982 0.2500 0.4945
0.5018 0.7500 0.5055
0.5041 0.2500 0.0199
0.7500 0.0006 0.3950
0.7500 0.4994 0.3950
0.9959 0.2500 0.0199
0.9982 0.7500 0.5055
```

Size of the total moment, μB per formula unit: 0.0
Energy relative to the elements, uncorrected, eV/f.u.: -8.9
SG: Pmmn, No. 59
Fermi-level density of states, states/eV per atom: 0.35


A relaxed structure of LiBi2O4, computed with PBE.

Structure (POSCAR):
```
LiBi2O4
1.0
5.7797 -1.7472 0.0000
5.7797 1.7472 0.0000
-2.9819 0.0000 5.3612
Li Bi O
1 2 4
Direct
0.0000 0.0000 0.0000
0.2969 0.2969 0.2850
0.7031 0.7031 0.7150
0.1336 0.1336 0.8890
0.3332 0.3332 0.7127
0.6668 0.6668 0.2873
0.8664 0.8664 0.1110
```

Size of the total moment, μB per formula unit: 0.7
Excess energy over the best structure of this formula in the dataset, eV/atom: 0.106
Energy relative to the elements, uncorrected, eV/f.u.: -8.1
SG: C2/m, No. 12
Fermi-level density of states, states/eV per atom: 0.77


A relaxed structure of KBaSn2Ir, computed with PBE.

Structure (POSCAR):
```
KBaSn2Ir
1.0
5.7656 0.0000 0.0000
0.0000 5.7656 0.0000
0.0000 0.0000 5.2171
K Ba Sn Ir
1 1 2 1
Direct
0.0000 0.0000 0.0000
0.5000 0.5000 0.5000
0.0000 0.5000 0.0000
0.5000 0.0000 0.0000
0.0000 0.0000 0.5000
```

Size of the total moment, μB per formula unit: 0.0
Formation energy, eV per atom: 1.0380
SG: P4/mmm, No. 123
Fermi-level density of states, states/eV per atom: 0.76


A relaxed structure of SrLiHgAu2, computed with PBE.

Structure (POSCAR):
```
SrLiHgAu2
1.0
-2.1125 2.1125 6.6847
2.1125 -2.1125 6.6847
2.1125 2.1125 -6.6847
Sr Li Hg Au
1 1 1 2
Direct
0.0000 0.0000 0.0000
0.2500 0.7500 0.5000
0.7500 0.2500 0.5000
0.3957 0.3957 0.0000
0.6043 0.6043 0.0000
```

Size of the total moment, μB per formula unit: 0.0
Excess energy over the best structure of this formula in the dataset, eV/atom: 0.000
Formation energy, eV per atom: -0.5744
SG: I-4m2, No. 119
Fermi-level density of states, states/eV per atom: 0.47


A relaxed structure of TlGeN, computed with PBE.

Structure (POSCAR):
```
TlGeN
1.0
1.5867 -2.7368 0.0000
1.5867 2.7368 0.0000
0.0000 0.0000 12.9881
Tl Ge N
2 2 2
Direct
0.2475 0.7525 0.5000
0.7525 0.2475 0.0000
0.1306 0.8694 0.2609
0.8694 0.1306 0.7609
0.2036 0.7964 0.6984
0.7964 0.2036 0.1984
```

Size of the total moment, μB per formula unit: 0.0
Energy relative to the elements, uncorrected, eV/f.u.: 0.8
SG: Cmc2_1, No. 36
Fermi-level density of states, states/eV per atom: 0.29